Record 1
A plane-wave DFT calculation with GGA-PBE was carried out for an optimized crystal structure of ZrAsOsO.

abc: 4.127 4.127 6.853
angles: 90.00 90.00 90.00
Element x y z (fractional)
Zr: 0.250 0.250 0.132
Zr: 0.750 0.750 0.868
As: 0.250 0.250 0.692
As: 0.750 0.750 0.308
Os: 0.250 0.750 0.500
Os: 0.750 0.250 0.500
O: 0.250 0.750 0.000
O: 0.750 0.250 0.000

## Properties
- Crystal system: tetragonal

=====

Record 2
A plane-wave DFT calculation with GGA-PBE was carried out for an optimized crystal structure of AsPPdO.

abc: 3.419 6.573 5.743
angles: 90.00 90.00 90.00
Element x y z (fractional)
As: 0.000 0.219 0.000
As: 0.000 0.781 0.500
P: 0.500 0.380 0.765
P: 0.500 0.620 0.265
Pd: 0.500 0.292 0.375
Pd: 0.500 0.708 0.875
O: 0.000 0.039 0.431
O: 0.000 0.961 0.931

## Properties
- Crystal system: orthorhombic

=====

Record 3
A plane-wave DFT calculation with GGA-PBE was carried out for an optimized crystal structure of AsPPdO.

abc: 4.334 4.334 7.617
angles: 90.00 90.00 90.00
Element x y z (fractional)
As: 0.250 0.750 0.000
As: 0.750 0.250 0.000
P: 0.250 0.250 0.146
P: 0.750 0.750 0.854
Pd: 0.250 0.250 0.448
Pd: 0.750 0.750 0.552
O: 0.250 0.750 0.500
O: 0.750 0.250 0.500

## Properties
- Crystal system: tetragonal

=====

Record 4
A plane-wave DFT calculation with GGA-PBE was carried out for an optimized crystal structure of AsPPdO.

abc: 3.862 3.862 8.174
angles: 90.00 90.00 90.00
Element x y z (fractional)
As: 0.250 0.250 0.121
As: 0.750 0.750 0.879
P: 0.250 0.250 0.675
P: 0.750 0.750 0.325
Pd: 0.250 0.750 0.500
Pd: 0.750 0.250 0.500
O: 0.250 0.750 0.000
O: 0.750 0.250 0.000

## Properties
- Crystal system: tetragonal

=====

Record 5
A plane-wave DFT calculation with GGA-PBE was carried out for an optimized crystal structure of AsPPdO.

abc: 3.579 6.322 6.067
angles: 90.00 90.00 90.00
Element x y z (fractional)
As: 0.000 0.185 0.000
As: 0.000 0.815 0.500
P: 0.000 0.174 0.394
P: 0.000 0.826 0.894
Pd: 0.500 0.328 0.549
Pd: 0.500 0.672 0.049
O: 0.500 0.288 0.951
O: 0.500 0.712 0.451

## Properties
- Crystal system: orthorhombic

=====

Record 6
A plane-wave DFT calculation with GGA-PBE was carried out for an optimized crystal structure of PmAsPO.

abc: 4.581 4.581 6.729
angles: 90.00 90.00 90.00
Element x y z (fractional)
Pm: 0.250 0.250 0.122
Pm: 0.750 0.750 0.878
As: 0.250 0.750 0.500
As: 0.750 0.250 0.500
P: 0.250 0.250 0.629
P: 0.750 0.750 0.371
O: 0.250 0.750 0.000
O: 0.750 0.250 0.000

## Properties
- Crystal system: tetragonal

=====

Excess energy over the best structure of this formula in the dataset, record by record: 0.00, 0.00, 1.77, 0.46, 0.30, 0.00 eV per formula unit